# 1
GGA-PBE MnTcSe2, relaxed; N(E_F) = 0.831 states/eV per atom; excess energy over the best structure of this formula in the dataset = 2.777 eV per formula unit; energy = -24.9 eV/f.u.; ΔE_f (raw) = 0.39 eV/atom
1.0
3.016 -3.845 0.000
3.016 3.845 0.000
-2.274 0.000 3.186
Mn Tc Se
1 1 2
direct
0.000 0.000 0.000
0.500 0.500 0.000
0.000 0.500 0.500
0.500 0.000 0.500


# 2
GGA-PBE NaH3Pd, relaxed; N(E_F) = 0.097 states/eV per atom; excess energy over the best structure of this formula in the dataset = 0.470 eV per formula unit; energy = -17.4 eV/f.u.
1.0
3.605 -4.187 0.000
3.605 4.187 0.000
0.000 0.000 3.477
Na H Pd
2 6 2
direct
0.247 0.247 0.000
0.753 0.753 0.000
0.000 0.500 0.500
0.206 0.794 0.000
0.446 0.554 0.500
0.500 0.000 0.500
0.554 0.446 0.500
0.794 0.206 0.000
0.231 0.769 0.500
0.769 0.231 0.500


# 3
GGA-PBE TbSc5Ni6, relaxed; N(E_F) = 0.688 states/eV per atom; energy = -76.6 eV/f.u.
1.0
2.280 -6.850 0.000
2.280 6.850 0.000
0.000 0.000 6.337
Tb Sc Ni
1 5 6
direct
0.000 0.000 0.000
0.000 0.000 0.500
0.330 0.670 0.000
0.334 0.666 0.500
0.666 0.334 0.500
0.670 0.330 0.000
0.172 0.828 0.256
0.172 0.828 0.744
0.500 0.500 0.266
0.500 0.500 0.734
0.828 0.172 0.256
0.828 0.172 0.744


# 4
GGA-PBE Ac2Pm3Nd2, relaxed; N(E_F) = 1.532 states/eV per atom; excess energy over the best structure of this formula in the dataset = 0.259 eV per formula unit; energy = -31.0 eV/f.u.
1.0
5.905 0.000 0.000
0.000 3.623 0.000
-2.932 0.000 12.286
Ac Pm Nd
2 3 2
direct
0.077 0.000 0.155
0.923 0.000 0.845
0.219 0.000 0.439
0.500 0.000 0.000
0.781 0.000 0.561
0.353 0.500 0.706
0.647 0.500 0.294


# 5
GGA-PBE LaSmP2, relaxed; N(E_F) = 0.059 states/eV per atom; excess energy over the best structure of this formula in the dataset = 0.577 eV per formula unit; energy = -26.2 eV/f.u.
1.0
2.061 1.190 7.161
-2.061 1.190 7.161
0.000 -2.379 7.161
La Sm P
1 1 2
direct
0.000 0.000 0.000
0.171 0.171 0.171
0.582 0.582 0.582
0.756 0.756 0.756


# 6
GGA-PBE LaIn4Si, relaxed; N(E_F) = 1.185 states/eV per atom; energy = -20.9 eV/f.u.; ΔE_f (raw) = 0.07 eV/atom
1.0
0.000 4.298 4.298
4.298 0.000 4.298
4.298 4.298 0.000
La In Si
1 4 1
direct
0.000 0.000 0.000
0.376 0.376 0.376
0.376 0.376 0.873
0.376 0.873 0.376
0.873 0.376 0.376
0.750 0.750 0.750


Total magnetic moment list, top to bottom, in μB/cell: 2.83 0.00 0.00 0.00 0.00 0.00